Entry 1:
Material: NaGa4Pt4
Method: DFT, PBE
State: optimized geometry

Geometry as CIF:
```
data_NaGa4Pt4
_chemical_formula_sum 'Na2 Ga8 Pt8'
_cell_length_a 6.171
_cell_length_b 6.171
_cell_length_c 8.568
_cell_angle_alpha 90.00
_cell_angle_beta 90.00
_cell_angle_gamma 90.00
_symmetry_space_group_name_H-M 'P 42/n m c'
_symmetry_Int_Tables_number 137
loop_
_symmetry_equiv_pos_as_xyz
'x,y,z'
'-x,-y,-z'
'-y+1/2,x,z+1/2'
'y+1/2,-x,-z+1/2'
'-x+1/2,-y+1/2,z'
'x+1/2,y+1/2,-z'
'y,-x+1/2,z+1/2'
'-y,x+1/2,-z+1/2'
'x+1/2,-y,-z'
'-x+1/2,y,z'
'-y,-x,-z+1/2'
'y,x,z+1/2'
'-x,y+1/2,-z'
'x,-y+1/2,z'
'y+1/2,x+1/2,-z+1/2'
'-y+1/2,-x+1/2,z+1/2'
loop_
_atom_site_label
_atom_site_type_symbol
_atom_site_fract_x
_atom_site_fract_y
_atom_site_fract_z
Na1 Na 0.250 0.750 0.250
Ga1 Ga 0.032 0.250 0.057
Pt1 Pt 0.024 0.250 0.358
```

Properties
ΔE_f: -520 meV/atom

Entry 2:
Material: NaGa3Pt
Method: DFT, PBE
State: optimized geometry

Geometry as CIF:
```
data_NaGa3Pt
_chemical_formula_sum 'Na4 Ga12 Pt4'
_cell_length_a 8.070
_cell_length_b 4.138
_cell_length_c 11.627
_cell_angle_alpha 90.00
_cell_angle_beta 90.00
_cell_angle_gamma 90.00
_symmetry_space_group_name_H-M 'P n m a'
_symmetry_Int_Tables_number 62
loop_
_symmetry_equiv_pos_as_xyz
'x,y,z'
'-x,-y,-z'
'-x+1/2,-y,z+1/2'
'x+1/2,y,-z+1/2'
'x+1/2,-y+1/2,-z+1/2'
'-x+1/2,y+1/2,z+1/2'
'-x,y+1/2,-z'
'x,-y+1/2,z'
loop_
_atom_site_label
_atom_site_type_symbol
_atom_site_fract_x
_atom_site_fract_y
_atom_site_fract_z
Na1 Na 0.176 0.250 0.003
Ga1 Ga 0.068 0.250 0.416
Ga2 Ga 0.091 0.750 0.201
Ga3 Ga 0.159 0.750 0.783
Pt1 Pt 0.114 0.250 0.637
```

Properties
distance to the lowest polymorph of the same formula: 0.0 meV/atom
ΔE_f: -392 meV/atom

| no. | total energy (eV per atom) |
| --- | --- |
| 1 | -4.697 |
| 2 | -3.680 |